(1)
Computed, not measured: a relaxed U2Tl2CoS6 crystal at the PBE level of DFT.

Structure (POSCAR):
```
U2Tl2CoS6
1.0
6.4727 -0.0132 0.0459
-3.2107 5.6202 0.0459
-1.1749 -2.0195 7.7259
U Tl Co S
2 2 1 6
Cartesian
-0.5630 2.7284 3.9088
2.6501 0.8591 3.9088
4.8290 0.9430 0.0459
-1.5670 4.6640 0.0459
-0.5874 -1.0097 3.8629
1.6506 2.8372 5.3791
-1.6263 0.7661 5.3549
0.4365 0.7503 2.4385
1.4698 -1.0351 5.3549
3.7134 2.8214 2.4627
0.6173 4.6226 2.4627
```

Calculated values
E_form (uncorrected) = -0.853 eV per atom
space-group type = No. 12



(2)
Computed, not measured: a relaxed NiNCl3 crystal at the PBE level of DFT.

Structure (POSCAR):
```
NiNCl3
1.0
-7.0699 -0.2705 -0.4452
3.6312 -5.6694 2.2196
-0.4111 1.8521 5.4032
Ni N Cl
2 2 6
Cartesian
0.0000 0.0000 0.0000
-0.2056 0.9260 2.7016
-0.2442 -2.4807 5.3838
-3.6056 -1.6071 1.7938
-0.0747 -1.2305 1.9334
-3.7751 -2.8572 5.2441
-2.0084 -4.5709 2.9313
-1.8413 0.4831 4.2463
1.9674 -4.4188 3.1817
-5.8172 0.3310 3.9959
```

Calculated values
distance to the lowest polymorph of the same formula = 0.0 meV per atom
E_form (uncorrected) = 0.692 eV per atom
space-group type = No. 194



Number 1: calculated volume 281.92 Å³/cell. Number 2: calculated volume 249.23 Å³/cell.